Here is a geometry-optimized Rb2CoGeTe structure from Alexandria via LeMat-Bulk. Energies are from GGA-PBEsol.

Geometry as POSCAR:
```
Rb2CoGeTe
1.0
5.173 0.000 0.000
0.000 6.743 0.000
0.000 0.000 6.743
Te Co Rb Ge
1 1 2 1
Direct
0.500 0.000 0.000 Te
0.500 0.500 0.500 Co
0.000 0.500 0.000 Rb
0.000 0.000 0.500 Rb
0.000 0.000 0.000 Ge
```

Raw total energy in eV/atom: -2.8383

Here is a geometry-optimized CoReGe2 structure from Alexandria via LeMat-Bulk. Energies are from GGA-PBEsol.

Geometry as POSCAR:
```
CoReGe2
1.0
4.273 0.000 0.000
2.136 3.700 0.000
2.136 1.233 3.489
Ge Co Re
2 1 1
Direct
0.250 0.250 0.250 Ge
0.000 0.000 0.000 Ge
0.500 0.500 0.500 Co
0.750 0.750 0.750 Re
```

Relative energy among the computed polymorphs in kcal/mol of atoms: 9.29
DFT formation energy in eV per atom: 0.479

Here is a geometry-optimized CoReGe2 structure from Alexandria via LeMat-Bulk. Energies are from GGA-PBEsol.

Geometry as POSCAR:
```
CoReGe2
1.0
-1.435 -3.303 2.176
-1.188 -3.495 -2.020
2.325 -3.494 0.296
Re Ge Co
1 2 1
Direct
0.500 0.500 0.500 Re
0.250 0.250 0.250 Ge
0.750 0.750 0.750 Ge
0.000 0.000 0.000 Co
```

Relative energy among the computed polymorphs in kcal/mol of atoms: 0.00
DFT formation energy in eV per atom: 0.076

Here is a geometry-optimized Co2ReGe2 structure from Alexandria via LeMat-Bulk. Energies are from GGA-PBEsol.

Geometry as POSCAR:
```
Co2ReGe2
1.0
-0.078 2.682 2.187
-2.813 1.225 -1.603
-1.718 -4.799 3.085
Ge Co Re
2 2 1
Direct
0.614 0.614 0.228 Ge
0.386 0.386 0.772 Ge
0.250 0.750 0.500 Co
0.750 0.250 0.500 Co
0.000 0.000 0.000 Re
```

DFT formation energy in eV per atom: 0.341

Here is a geometry-optimized CoReGeSe2 structure from Alexandria via LeMat-Bulk. Energies are from GGA-PBEsol.

Geometry as POSCAR:
```
CoReGeSe2
1.0
-0.366 2.928 3.417
-3.613 2.158 -2.236
-3.083 -2.916 2.168
Se Ge Re Co
2 1 1 1
Direct
0.000 0.000 0.500 Se
0.000 0.500 0.000 Se
0.500 0.500 0.500 Ge
0.000 0.000 0.000 Re
0.500 0.000 0.000 Co
```

Raw total energy in eV/atom: -5.8527

Here is a geometry-optimized Co3GeRh structure from Alexandria via LeMat-Bulk. Energies are from GGA-PBEsol.

Geometry as POSCAR:
```
Co3GeRh
1.0
4.191 0.000 0.000
0.000 4.191 0.000
0.000 0.000 4.191
Co Rh Ge
3 1 1
Direct
0.500 0.000 0.000 Co
0.000 0.000 0.500 Co
0.000 0.500 0.000 Co
0.500 0.500 0.500 Rh
0.000 0.000 0.000 Ge
```

DFT formation energy in eV per atom: 1.112

Here is a geometry-optimized TiCo2GeS structure from Alexandria via LeMat-Bulk. Energies are from GGA-PBEsol.

Geometry as POSCAR:
```
TiCo2GeS
1.0
-2.213 -3.600 0.077
2.116 -1.373 -3.390
3.311 -1.974 2.866
Ge Ti Co S
1 1 2 1
Direct
0.000 0.000 0.000 Ge
0.000 0.000 0.500 Ti
0.000 0.500 0.000 Co
0.500 0.000 0.000 Co
0.500 0.500 0.500 S
```

Raw total energy in eV/atom: -5.8731

Here is a geometry-optimized Sc2CoGe2 structure from Alexandria via LeMat-Bulk. Energies are from GGA-PBEsol.

Geometry as POSCAR:
```
Sc2CoGe2
1.0
-3.757 -1.288 -0.076
-0.273 -5.337 0.131
-1.975 -0.853 8.335
Ge Sc Co
4 4 2
Direct
0.352 0.721 0.575 Ge
0.520 0.833 0.126 Ge
0.480 0.167 0.874 Ge
0.648 0.279 0.425 Ge
0.181 0.745 0.894 Sc
0.995 0.677 0.332 Sc
0.819 0.255 0.106 Sc
0.005 0.323 0.668 Sc
0.279 0.073 0.370 Co
0.721 0.927 0.630 Co
```

DFT formation energy in eV per atom: -0.824

Here is a geometry-optimized Co2Ge3Se3 structure from Alexandria via LeMat-Bulk. Energies are from GGA-PBEsol.

Geometry as POSCAR:
```
Co2Ge3Se3
1.0
8.222 0.002 0.002
0.010 8.222 0.002
0.010 0.010 8.222
Ge Co Se
12 8 12
Direct
0.502 0.172 0.342 Ge
0.498 0.828 0.658 Ge
0.342 0.502 0.172 Ge
0.172 0.342 0.502 Ge
0.159 0.000 0.672 Ge
0.841 0.000 0.328 Ge
0.000 0.672 0.159 Ge
0.328 0.841 0.000 Ge
0.828 0.658 0.498 Ge
0.658 0.498 0.828 Ge
0.672 0.159 0.000 Ge
0.000 0.328 0.841 Ge
0.747 0.748 0.247 Co
0.753 0.253 0.252 Co
0.751 0.751 0.751 Co
0.249 0.249 0.249 Co
0.247 0.747 0.748 Co
0.748 0.247 0.747 Co
0.253 0.252 0.753 Co
0.252 0.753 0.253 Co
0.654 0.851 0.997 Se
0.149 0.003 0.346 Se
0.351 0.500 0.845 Se
0.346 0.149 0.003 Se
0.500 0.845 0.351 Se
0.003 0.346 0.149 Se
0.845 0.351 0.500 Se
0.155 0.649 0.500 Se
0.851 0.997 0.654 Se
0.997 0.654 0.851 Se
0.649 0.500 0.155 Se
0.500 0.155 0.649 Se
```

Raw total energy in eV/atom: -5.6518

Here is a geometry-optimized Co3GeSe structure from Alexandria via LeMat-Bulk. Energies are from GGA-PBEsol.

Geometry as POSCAR:
```
Co3GeSe
1.0
-0.117 -4.244 -0.522
3.641 -0.373 2.214
-2.242 -0.384 3.622
Se Co Ge
1 3 1
Direct
0.500 0.500 0.500 Se
0.500 0.000 0.000 Co
0.000 0.000 0.500 Co
0.000 0.500 0.000 Co
0.000 0.000 0.000 Ge
```

Raw total energy in eV/atom: -5.4871

Here is a geometry-optimized CoGeSe2 structure from Alexandria via LeMat-Bulk. Energies are from GGA-PBEsol.

Geometry as POSCAR:
```
CoGeSe2
1.0
3.672 0.000 0.000
1.836 3.180 0.000
1.836 1.060 7.414
Se Ge Co
2 1 1
Direct
0.901 0.901 0.298 Se
0.099 0.099 0.702 Se
0.500 0.500 0.500 Ge
0.000 0.000 0.000 Co
```

Raw total energy in eV/atom: -4.7838

Here is a geometry-optimized Y2CoGeSe structure from Alexandria via LeMat-Bulk. Energies are from GGA-PBEsol.

Geometry as POSCAR:
```
Y2CoGeSe
1.0
4.827 0.000 0.000
0.000 5.344 0.000
0.000 0.000 5.344
Ge Y Se Co
1 2 1 1
Direct
0.000 0.000 0.000 Ge
0.000 0.000 0.500 Y
0.000 0.500 0.000 Y
0.500 0.000 0.000 Se
0.500 0.500 0.500 Co
```

Raw total energy in eV/atom: -5.5168